DFT (GGA-PBE) results for a relaxed structure of KInSi.

Geometry as CIF:
```
data_KInSi
_cell_length_a 16.878
_cell_length_b 8.323
_cell_length_c 8.323
_cell_angle_alpha 157.58
_cell_angle_beta 155.08
_cell_angle_gamma 24.92
_symmetry_space_group_name_H-M 'P 1'
_symmetry_Int_Tables_number 1
_symmetry_space_group_name_Hall 'P 1'
loop_
_atom_site_label
_atom_site_fract_x
_atom_site_fract_y
_atom_site_fract_z
K1 0.644 0.960 0.040
K2 0.356 0.040 0.960
Si1 0.142 0.911 0.089
Si2 0.858 0.089 0.911
In1 0.169 0.529 0.471
In2 0.831 0.471 0.529
```

Summary:
Crystal system   monoclinic
VASP energy   -2.9346 eV/atom